V2Fe2Ni7: optimized geometry, GGA-PBE.

Cell: 5.6658 5.6658 4.3159 Å, 98.71 98.71 80.26°
With the nearest neighbours (Å) after each atom.
Positions (direct):
V: 0.2477 0.2477 0.2618  8 Ni 2.37-2.57
V: 0.7523 0.7523 0.7382  8 Ni 2.37-2.57
Fe: 0.3010 0.6990 0.5000  8 Ni 2.41-2.64, 2 V 2.66
Fe: 0.6990 0.3010 0.5000  8 Ni 2.41-2.64, 2 V 2.66
Ni: 0.0471 0.0471 0.7720  4 Ni 2.27-2.41, 2 V 2.46-2.53, 2 Fe 2.49
Ni: 0.1034 0.4589 0.7661  5 Ni 2.35-2.60, 3 V 2.37-2.57, 1 Fe 2.41
Ni: 0.4589 0.1034 0.7661  5 Ni 2.35-2.60, 3 V 2.37-2.57, 1 Fe 2.41
Ni: 0.5000 0.5000 0.0000  4 Ni 2.35, 4 Fe 2.60
Ni: 0.5411 0.8966 0.2339  5 Ni 2.35-2.60, 3 V 2.37-2.57, 1 Fe 2.41
Ni: 0.8966 0.5411 0.2339  5 Ni 2.35-2.60, 3 V 2.37-2.57, 1 Fe 2.41
Ni: 0.9529 0.9529 0.2280  4 Ni 2.27-2.41, 2 V 2.46-2.53, 2 Fe 2.49

Computed properties:
E_tot: -6.7421 eV per atom


VFe4Ni3: optimized geometry, GGA-PBE.

Cell: 7.6134 7.6134 7.6134 Å, 153.57 152.19 38.74°
With the nearest neighbours (Å) after each atom.
Positions (direct):
V: 0.0000 0.0000 0.0000  4 Fe 2.48, 8 Ni 2.53-2.54
Fe: 0.1232 0.6232 0.5000  2 V 2.48, 4 Fe 2.51-2.59, 6 Ni 2.53-2.55
Fe: 0.2495 0.2495 0.0000  8 Fe 2.51-2.59, 4 Ni 2.53-2.58
Fe: 0.7505 0.7505 0.0000  8 Fe 2.51-2.59, 4 Ni 2.53-2.58
Fe: 0.8768 0.3768 0.5000  2 V 2.48, 4 Fe 2.51-2.59, 6 Ni 2.53-2.55
Ni: 0.3771 0.8771 0.5000  2 Ni 2.48, 8 Fe 2.53-2.58, 2 V 2.54
Ni: 0.5000 0.5000 0.0000  4 Ni 2.48, 4 V 2.53, 4 Fe 2.55
Ni: 0.6229 0.1229 0.5000  2 Ni 2.48, 8 Fe 2.53-2.58, 2 V 2.54

Computed properties:
E_tot: -7.6076 eV per atom


V2FeNi4: optimized geometry, GGA-PBE.

Cell: 8.6038 8.6038 8.6038 Å, 158.52 158.52 30.57°
With the nearest neighbours (Å) after each atom.
Positions (direct):
V: 0.0844 0.0844 0.0000  4 Ni 2.47, 4 Fe 2.67
V: 0.9156 0.9156 0.0000  4 Ni 2.47, 4 Fe 2.67
Fe: 0.5000 0.5000 0.0000  2 Ni 2.38
Ni: 0.2500 0.7500 0.5000  8 Ni 2.27-2.39
Ni: 0.3568 0.3568 0.0000  1 Fe 2.38, 4 Ni 2.39, 4 V 2.47
Ni: 0.6432 0.6432 0.0000  1 Fe 2.38, 4 Ni 2.39, 4 V 2.47
Ni: 0.7500 0.2500 0.5000  8 Ni 2.27-2.39

Computed properties:
E_tot: -6.9827 eV per atom


Fe2NiW: optimized geometry, GGA-PBE.

Cell: 4.5102 4.5102 4.4779 Å, 99.55 99.55 33.94°
With the nearest neighbours (Å) after each atom.
Positions (direct):
Fe: 0.0000 0.0000 0.0000  4 Ni 2.55-2.65, 3 W 2.57-2.69, 5 Fe 2.58-2.63
Fe: 0.7489 0.7489 0.2389  3 Ni 2.54-2.65, 5 Fe 2.58-2.63, 4 W 2.59-2.61
Ni: 0.4902 0.4902 0.4832  7 Fe 2.54-2.65, 3 W 2.59-2.61, 2 Ni 2.63
W: 0.2406 0.2406 0.7329  7 Fe 2.57-2.69, 3 Ni 2.59-2.61, 2 W 2.63

Computed properties:
E_tot: -8.7887 eV per atom


Fe2Ni15W2: optimized geometry, GGA-PBE.

Cell: 6.1553 6.1553 6.1553 Å, 80.71 80.71 80.71°
With the nearest neighbours (Å) after each atom.
Positions (direct):
Fe: 0.0959 0.0959 0.0959  1 Fe 2.35, 6 Ni 2.46-2.53, 1 W 2.51
Fe: 0.9041 0.9041 0.9041  1 Fe 2.35, 6 Ni 2.46-2.53, 1 W 2.51
Ni: 0.0000 0.0000 0.5000  8 Ni 2.32-2.41, 2 Fe 2.46
Ni: 0.0000 0.3198 0.6802  8 Ni 2.40-2.55
Ni: 0.0000 0.5000 0.0000  8 Ni 2.32-2.41, 2 Fe 2.46
Ni: 0.0000 0.6802 0.3198  8 Ni 2.40-2.55
Ni: 0.1615 0.6551 0.6551  8 Ni 2.28-2.51, 1 Fe 2.53
Ni: 0.3198 0.0000 0.6802  8 Ni 2.40-2.55
Ni: 0.3198 0.6802 0.0000  8 Ni 2.40-2.55
Ni: 0.3449 0.3449 0.8385  8 Ni 2.28-2.51, 1 Fe 2.53
Ni: 0.3449 0.8385 0.3449  8 Ni 2.28-2.51, 1 Fe 2.53
Ni: 0.5000 0.0000 0.0000  8 Ni 2.32-2.41, 2 Fe 2.46
Ni: 0.6551 0.1616 0.6551  8 Ni 2.28-2.51, 1 Fe 2.53
Ni: 0.6551 0.6551 0.1616  8 Ni 2.28-2.51, 1 Fe 2.53
Ni: 0.6802 0.0000 0.3198  8 Ni 2.40-2.55
Ni: 0.6802 0.3198 0.0000  8 Ni 2.40-2.55
Ni: 0.8384 0.3449 0.3449  8 Ni 2.28-2.51, 1 Fe 2.53
W: 0.3007 0.3007 0.3007  1 Fe 2.51, 9 Ni 2.74-2.79
W: 0.6993 0.6993 0.6993  1 Fe 2.51, 9 Ni 2.74-2.79

Computed properties:
E_tot: -6.6581 eV per atom


FeNi5W: optimized geometry, GGA-PBE.

Cell: 4.3968 4.3968 9.7224 Å, 90.00 90.00 68.37°
With the nearest neighbours (Å) after each atom.
Positions (direct):
Fe: 0.1067 0.8933 0.7500  6 Ni 2.35-2.60
Fe: 0.8933 0.1067 0.2500  6 Ni 2.35-2.60
Ni: 0.0640 0.3830 0.6190  6 Ni 2.43-2.66, 2 Fe 2.45-2.65, 2 W 2.45-2.61
Ni: 0.0640 0.3830 0.8810  6 Ni 2.43-2.66, 2 Fe 2.45-2.65, 2 W 2.45-2.61
Ni: 0.3830 0.0640 0.1190  6 Ni 2.43-2.66, 2 Fe 2.45-2.65, 2 W 2.45-2.61
Ni: 0.3830 0.0640 0.3810  6 Ni 2.43-2.66, 2 Fe 2.45-2.65, 2 W 2.45-2.61
Ni: 0.4186 0.5814 0.2500  2 Fe 2.35-2.60, 4 Ni 2.43, 2 W 2.46
Ni: 0.5814 0.4186 0.7500  2 Fe 2.35-2.60, 4 Ni 2.43, 2 W 2.46
Ni: 0.6170 0.9360 0.6190  6 Ni 2.43-2.66, 2 Fe 2.45-2.65, 2 W 2.45-2.61
Ni: 0.6170 0.9360 0.8810  6 Ni 2.43-2.66, 2 Fe 2.45-2.65, 2 W 2.45-2.61
Ni: 0.9360 0.6170 0.1190  6 Ni 2.43-2.66, 2 Fe 2.45-2.65, 2 W 2.45-2.61
Ni: 0.9360 0.6170 0.3810  6 Ni 2.43-2.66, 2 Fe 2.45-2.65, 2 W 2.45-2.61
W: 0.5000 0.5000 0.0000  10 Ni 2.45-2.61
W: 0.5000 0.5000 0.5000  10 Ni 2.45-2.61

Computed properties:
E_tot: -7.0317 eV per atom


Fe3Ni6W: optimized geometry, GGA-PBE.

Cell: 4.7159 4.7159 6.7764 Å, 110.81 110.81 60.46°
With the nearest neighbours (Å) after each atom.
Positions (direct):
Fe: 0.0000 0.0000 0.0000  4 Ni 2.33, 2 Fe 2.35
Fe: 0.0669 0.0669 0.6946  4 Ni 2.32-2.40, 2 Fe 2.35-2.40
Fe: 0.9331 0.9331 0.3054  4 Ni 2.32-2.40, 2 Fe 2.35-2.40
Ni: 0.0677 0.5589 0.6954  3 Fe 2.32-2.40, 3 Ni 2.33-2.42
Ni: 0.3576 0.3576 0.0722  1 W 2.64, 6 Fe 2.68-2.78, 9 Ni 2.69-2.87
Ni: 0.4411 0.9323 0.3046  3 Fe 2.32-2.40, 3 Ni 2.33-2.42
Ni: 0.5589 0.0677 0.6954  3 Fe 2.32-2.40, 3 Ni 2.33-2.42
Ni: 0.6424 0.6424 0.9278  1 W 2.64, 6 Fe 2.68-2.78, 9 Ni 2.69-2.87
Ni: 0.9323 0.4411 0.3046  3 Fe 2.32-2.40, 3 Ni 2.33-2.42
W: 0.5000 0.5000 0.5000  10 Ni 2.64-2.66, 4 Fe 2.66

Computed properties:
E_tot: -7.1974 eV per atom


FeNi14W: optimized geometry, GGA-PBE.

Cell: 5.0473 5.0473 7.0538 Å, 90.00 90.00 90.00°
With the nearest neighbours (Å) after each atom.
Positions (direct):
Fe: 0.0000 0.0000 0.0000  12 Ni 2.51-2.52
Ni: 0.0000 0.0000 0.5000  12 Ni 2.49-2.52
Ni: 0.0000 0.5000 0.0000  8 Ni 2.52, 2 W 2.52, 2 Fe 2.52
Ni: 0.0000 0.5000 0.5000  12 Ni 2.50-2.52
Ni: 0.2486 0.2486 0.2519  10 Ni 2.49-2.54, 1 Fe 2.51, 1 W 2.53
Ni: 0.2486 0.2486 0.7481  10 Ni 2.49-2.54, 1 Fe 2.51, 1 W 2.53
Ni: 0.2486 0.7514 0.2519  10 Ni 2.49-2.54, 1 Fe 2.51, 1 W 2.53
Ni: 0.2486 0.7514 0.7481  10 Ni 2.49-2.54, 1 Fe 2.51, 1 W 2.53
Ni: 0.5000 0.0000 0.0000  8 Ni 2.52, 2 W 2.52, 2 Fe 2.52
Ni: 0.5000 0.0000 0.5000  12 Ni 2.50-2.52
Ni: 0.5000 0.5000 0.5000  12 Ni 2.51-2.52
Ni: 0.7514 0.2486 0.2519  10 Ni 2.49-2.54, 1 Fe 2.51, 1 W 2.53
Ni: 0.7514 0.2486 0.7481  10 Ni 2.49-2.54, 1 Fe 2.51, 1 W 2.53
Ni: 0.7514 0.7514 0.2519  10 Ni 2.49-2.54, 1 Fe 2.51, 1 W 2.53
Ni: 0.7514 0.7514 0.7481  10 Ni 2.49-2.54, 1 Fe 2.51, 1 W 2.53
W: 0.5000 0.5000 0.0000  12 Ni 2.52-2.53

Computed properties:
E_tot: -6.4213 eV per atom


Fe2NiW: optimized geometry, GGA-PBE.

Cell: 2.5597 4.1954 4.7679 Å, 90.00 98.13 90.00°
With the nearest neighbours (Å) after each atom.
Positions (direct):
Fe: 0.2448 0.0000 0.2539  5 Fe 2.52-2.81, 2 Ni 2.53, 2 W 2.55
Fe: 0.7552 0.0000 0.7461  5 Fe 2.52-2.81, 2 Ni 2.53, 2 W 2.55
Ni: 0.0000 0.5000 0.5000  4 Fe 2.53, 2 W 2.54, 2 Ni 2.56
W: 0.5000 0.5000 0.0000  2 Ni 2.54, 4 Fe 2.55, 2 W 2.56

Computed properties:
E_tot: -8.7692 eV per atom


Fe2NiW: optimized geometry, GGA-PBE.

Cell: 8.4094 8.4094 8.4094 Å, 18.36 18.36 18.36°
With the nearest neighbours (Å) after each atom.
Positions (direct):
Fe: 0.0000 0.0000 0.0000  9 Fe 2.45-2.68, 3 W 2.69
Fe: 0.2567 0.2567 0.2567  9 Fe 2.45-2.68, 3 Ni 2.51
Ni: 0.5103 0.5103 0.5103  3 Fe 2.51, 6 Ni 2.68, 3 W 2.69
W: 0.7552 0.7552 0.7552  6 W 2.68, 3 Ni 2.69, 3 Fe 2.69

Computed properties:
E_tot: -8.6843 eV per atom